(1)
Compound: Ce4AuI5
Source: Alexandria
Functional: PBE
Structure: optimized geometry

For the calculated volume, the calculation gives 383.7 Å³ per cell. For the energy relative to the elements, uncorrected, the calculation gives -0.972 eV per atom. As for the density of states at the Fermi level: 29.72 states/eV/f.u. As for the space-group type: C2/m, No. 12. As for the magnetic moment: 5.4 μB per formula unit.

Cell lengths 4.1955, 8.1231, 11.6409 Å; angles 100.36, 100.38, 90.00 degrees
Positions (direct):
1 Ce 0.6070 0.2859 0.2141
2 Ce 0.0545 0.8212 0.1089
3 Ce 0.3930 0.7141 0.7859
4 Ce 0.9455 0.1788 0.8911
5 Au 0.5000 0.0000 0.0000
6 I 0.1775 0.0906 0.3551
7 I 0.1610 0.5846 0.3220
8 I 0.8390 0.4154 0.6780
9 I 0.5000 0.5000 0.0000
10 I 0.8225 0.9094 0.6449

(2)
Compound: Ce6AuI8
Source: Alexandria
Functional: PBE
Structure: optimized geometry

For the calculated volume, the calculation gives 578.4 Å³ per cell. For the energy relative to the elements, uncorrected, the calculation gives -1.031 eV per atom. As for the density of states at the Fermi level: 39.82 states/eV/f.u. As for the space-group type: R-3, No. 148. As for the magnetic moment: 6.8 μB per formula unit.

Cell lengths 7.6258, 7.6258, 12.3001 Å; angles 71.94, 71.94, 60.00 degrees
Positions (direct):
1 Ce 0.9484 0.6295 0.1546
2 Ce 0.7324 0.0516 0.8454
3 Ce 0.3705 0.7324 0.8454
4 Ce 0.6295 0.2676 0.1546
5 Ce 0.2676 0.9484 0.1546
6 Ce 0.0516 0.3705 0.8454
7 Au 0.0000 0.0000 0.0000
8 I 0.7686 0.4515 0.6700
9 I 0.8901 0.2314 0.3300
10 I 0.5485 0.8901 0.3300
11 I 0.3333 0.3333 0.0001
12 I 0.6667 0.6667 0.9999
13 I 0.4515 0.1099 0.6700
14 I 0.1099 0.7686 0.6700
15 I 0.2314 0.5485 0.3300

(3)
Compound: Ce2InAu4
Source: Alexandria
Functional: PBE
Structure: optimized geometry

For the calculated volume, the calculation gives 177.6 Å³ per cell. The value obtained for the formation energy is -0.503 eV per atom. As for the density of states at the Fermi level: 14.89 states/eV/f.u. As for the space-group type: R-3m, No. 166. As for the magnetic moment: 1.8 μB per formula unit.

Cell lengths 4.7430, 4.7430, 9.5187 Å; angles 75.57, 75.57, 60.00 degrees
Positions (direct):
1 Au 0.8631 0.8631 0.4107
2 Au 0.1369 0.1369 0.5893
3 Au 0.6318 0.6318 0.1045
4 Au 0.3682 0.3682 0.8955
5 Ce 0.7517 0.7517 0.7449
6 Ce 0.2483 0.2483 0.2551
7 In 0.0000 0.0000 0.0000

(4)
Compound: CeIn5Au4
Source: Alexandria
Functional: PBE
Structure: optimized geometry

For the calculated volume, the calculation gives 252.7 Å³ per cell. The value obtained for the formation energy is -0.305 eV per atom. As for the density of states at the Fermi level: 9.11 states/eV/f.u. As for the space-group type: C2/m, No. 12. As for the magnetic moment: 0.9 μB per formula unit.

Cell lengths 4.6478, 7.2808, 7.9700 Å; angles 78.86, 106.95, 90.00 degrees
Positions (direct):
1 Ce 0.5000 0.0000 0.0000
2 In 0.1813 0.9907 0.3625
3 In 0.1575 0.5508 0.3149
4 In 0.8425 0.4492 0.6851
5 In 0.5000 0.5000 0.0000
6 In 0.8187 0.0093 0.6375
7 Au 0.6945 0.7579 0.3890
8 Au 0.0340 0.2724 0.0680
9 Au 0.3055 0.2421 0.6110
10 Au 0.9660 0.7276 0.9320

(5)
Compound: Ce2InAu
Source: Alexandria
Functional: PBE
Structure: optimized geometry

For the calculated volume, the calculation gives 108.5 Å³ per cell. The value obtained for the formation energy is -0.386 eV per atom. As for the density of states at the Fermi level: 16.19 states/eV/f.u. As for the space-group type: Fm-3m, No. 225. As for the magnetic moment: 2.4 μB per formula unit.

Cell lengths 5.3536, 5.3536, 5.3536 Å; angles 60.00, 60.00, 60.00 degrees
Positions (direct):
1 Au 0.5000 0.5000 0.5000
2 Ce 0.2500 0.2500 0.2500
3 Ce 0.7500 0.7500 0.7500
4 In 0.0000 0.0000 0.0000

(6)
Compound: CeInAu
Source: Alexandria
Functional: PBE
Structure: optimized geometry

For the calculated volume, the calculation gives 222.2 Å³ per cell. The value obtained for the formation energy is -0.618 eV per atom. As for the density of states at the Fermi level: 6.65 states/eV/f.u. As for the space-group type: P-62m, No. 189. As for the magnetic moment: 1.0 μB per formula unit.

Cell lengths 7.7154, 7.7154, 4.3100 Å; angles 90.00, 90.00, 120.00 degrees
Positions (direct):
1 Ce 0.0000 0.5861 0.0000
2 Ce 0.4139 0.4139 0.0000
3 Ce 0.5861 0.0000 0.0000
4 In 0.7501 0.7501 0.5000
5 In 0.0000 0.2499 0.5000
6 In 0.2499 0.0000 0.5000
7 Au 0.6667 0.3333 0.5000
8 Au 0.3333 0.6667 0.5000
9 Au 0.0000 0.0000 0.0000

(7)
Compound: CeIn3Au2
Source: Alexandria
Functional: PBE
Structure: optimized geometry

For the calculated volume, the calculation gives 290.4 Å³ per cell. The value obtained for the formation energy is -0.419 eV per atom. As for the density of states at the Fermi level: 7.56 states/eV/f.u. As for the space-group type: Immm, No. 71. As for the magnetic moment: 0.8 μB per formula unit.

Cell lengths 4.5724, 8.8175, 8.8179 Å; angles 58.83, 74.97, 74.97 degrees
Positions (direct):
1 Ce 0.8738 0.1261 0.1264
2 Ce 0.1262 0.8739 0.8736
3 In 0.3287 0.4740 0.8685
4 In 0.9998 0.3415 0.6589
5 In 0.6711 0.1317 0.5260
6 In 0.3289 0.8683 0.4740
7 In 0.0002 0.6585 0.3412
8 In 0.6713 0.5260 0.1315
9 Au 0.5000 0.1583 0.8418
10 Au 0.5000 0.8417 0.1582
11 Au 0.7861 0.7140 0.7139
12 Au 0.2139 0.2860 0.2861

(8)
Compound: CeIn2Au3
Source: Alexandria
Functional: PBE
Structure: optimized geometry

For the calculated volume, the calculation gives 298.6 Å³ per cell. The value obtained for the formation energy is -0.319 eV per atom. As for the density of states at the Fermi level: 8.20 states/eV/f.u. As for the space-group type: Pmmn, No. 59. As for the magnetic moment: 1.1 μB per formula unit.

Cell lengths 3.5396, 5.5047, 15.3254 Å; angles 90.00, 90.00, 90.00 degrees
Positions (direct):
1 Ce 0.7513 0.5000 0.5000
2 Ce 0.2487 0.0000 0.0000
3 In 0.2491 0.0000 0.6822
4 In 0.2491 0.0000 0.3178
5 In 0.7509 0.5000 0.1822
6 In 0.7509 0.5000 0.8178
7 Au 0.2509 0.5000 0.6638
8 Au 0.2526 0.0000 0.5000
9 Au 0.2509 0.5000 0.3362
10 Au 0.7491 0.0000 0.1638
11 Au 0.7474 0.5000 0.0000
12 Au 0.7491 0.0000 0.8362

(9)
Compound: Ce2In12Au
Source: Alexandria
Functional: PBE
Structure: optimized geometry

For the calculated volume, the calculation gives 816.9 Å³ per cell. The value obtained for the formation energy is -0.147 eV per atom. As for the density of states at the Fermi level: 20.15 states/eV/f.u. As for the space-group type: P4/nbm, No. 125. As for the magnetic moment: 2.1 μB per formula unit.

Cell lengths 6.8716, 6.8716, 17.3000 Å; angles 90.00, 90.00, 90.00 degrees
Positions (direct):
1 Ce 0.5000 0.0000 0.2430
2 Ce 0.0000 0.5000 0.2430
3 Ce 0.0000 0.5000 0.7570
4 Ce 0.5000 0.0000 0.7570
5 In 0.5000 0.5000 0.8132
6 In 0.0000 0.0000 0.8132
7 In 0.7502 0.7498 0.9106
8 In 0.2502 0.7502 0.9106
9 In 0.0000 0.0000 0.3443
10 In 0.2498 0.7498 0.0894
11 In 0.8364 0.3364 0.5712
12 In 0.5000 0.5000 0.3443
13 In 0.2498 0.2502 0.9106
14 In 0.7498 0.7502 0.0894
15 In 0.3364 0.1636 0.5712
16 In 0.6636 0.1636 0.4288
17 In 0.0000 0.0000 0.6557
18 In 0.1636 0.3364 0.4288
19 In 0.2502 0.2498 0.0894
20 In 0.8364 0.6636 0.4288
21 In 0.6636 0.8364 0.5712
22 In 0.0000 0.0000 0.1868
23 In 0.1636 0.6636 0.5712
24 In 0.5000 0.5000 0.6557
25 In 0.7498 0.2498 0.9106
26 In 0.5000 0.5000 0.1868
27 In 0.3364 0.8364 0.4288
28 In 0.7502 0.2502 0.0894
29 Au 0.5000 0.0000 0.0000
30 Au 0.0000 0.5000 0.0000

(10)
Compound: Ce2In3Au
Source: Alexandria
Functional: PBE
Structure: optimized geometry

For the calculated volume, the calculation gives 304.3 Å³ per cell. The value obtained for the formation energy is -0.458 eV per atom. As for the density of states at the Fermi level: 12.47 states/eV/f.u. As for the space-group type: Fmmm, No. 69. As for the magnetic moment: 2.4 μB per formula unit.

Cell lengths 6.1094, 6.1094, 10.0456 Å; angles 114.23, 114.23, 69.53 degrees
Positions (direct):
1 Ce 0.7500 0.2500 0.5000
2 Ce 0.7402 0.2598 0.0000
3 Ce 0.2500 0.7500 0.5000
4 Ce 0.2598 0.7402 0.0000
5 In 0.8317 0.8317 0.1700
6 In 0.6617 0.6617 0.8300
7 In 0.1683 0.1683 0.8300
8 In 0.3383 0.3383 0.1700
9 In 0.1695 0.1695 0.3390
10 In 0.8305 0.8305 0.6610
11 Au 0.6672 0.6672 0.3344
12 Au 0.3328 0.3328 0.6656

(11)
Compound: Ce2In5Au3
Source: Alexandria
Functional: PBE
Structure: optimized geometry

For the calculated volume, the calculation gives 479.5 Å³ per cell. The value obtained for the formation energy is -0.473 eV per atom. As for the density of states at the Fermi level: 14.49 states/eV/f.u. As for the space-group type: Cmc2_1, No. 36. As for the magnetic moment: 1.8 μB per formula unit.

Cell lengths 4.7089, 7.5071, 13.7657 Å; angles 90.00, 99.85, 90.00 degrees
Positions (direct):
1 Ce 0.4817 0.7581 0.9634
2 Ce 0.1725 0.7208 0.3449
3 Ce 0.8275 0.2208 0.6551
4 Ce 0.5183 0.2581 0.0366
5 In 0.3990 0.4068 0.7980
6 In 0.2925 0.5115 0.5850
7 In 0.7075 0.0115 0.4150
8 In 0.1207 0.2506 0.2414
9 In 0.2933 0.9260 0.5866
10 In 0.9484 0.0840 0.8967
11 In 0.7067 0.4260 0.4134
12 In 0.8793 0.7506 0.7586
13 In 0.0516 0.5840 0.1033
14 In 0.6010 0.9068 0.2020
15 Au 0.7749 0.7178 0.5498
16 Au 0.6070 0.5171 0.2141
17 Au 0.0473 0.9721 0.0947
18 Au 0.2251 0.2178 0.4502
19 Au 0.9527 0.4721 0.9053
20 Au 0.3930 0.0171 0.7859

(12)
Compound: CeInAu
Source: Alexandria
Functional: PBE
Structure: optimized geometry

For the calculated volume, the calculation gives 72.6 Å³ per cell. The value obtained for the formation energy is -0.460 eV per atom. As for the density of states at the Fermi level: 5.21 states/eV/f.u. As for the space-group type: I4mm, No. 107. As for the magnetic moment: 0.8 μB per formula unit.

Cell lengths 3.4966, 3.4966, 6.4349 Å; angles 105.76, 105.76, 90.00 degrees
Positions (direct):
1 Au 0.2898 0.2898 0.5796
2 Ce 0.6277 0.6277 0.2553
3 In 0.9325 0.9325 0.8651